First-principles (PBE-GGA) data for LuCoCuSb after structural relaxation, as listed in OQMD.

Summary:
E above lowest polymorph = 0.00 eV per formula unit
Calculated total energy = -5.135 eV/atom

Cell lengths 6.4157, 6.4157, 6.4157 Å; angles 90.00, 90.00, 90.00 degrees
Last column: nearest neighbours and their distance in Å.
Space group F-43m (No. 216)
One atom of each set of equivalent atoms:
1 Lu 0.0000 0.0000 0.0000  4 Co 2.78, 4 Cu 2.78
2 Co 0.2500 0.2500 0.2500  4 Sb 2.78, 4 Lu 2.78
3 Cu 0.2500 0.2500 0.7500  4 Sb 2.78, 4 Lu 2.78
4 Sb 0.0000 0.0000 0.5000  4 Cu 2.78, 4 Co 2.78